# SbAs

A relaxed SbAs crystal (GGA-PBEsol, Alexandria via LeMat-Bulk).

Crystal system: trigonal
Uncorrected formation energy, eV per formula unit: 0.15
Excess energy over the best structure of this formula in the dataset, meV/atom: 54

Cell and atoms, written as POSCAR:
```
SbAs
1.0
3.824 0.000 0.000
-1.912 3.312 0.000
0.000 0.000 8.665
Sb As
2 2
direct
0.333 0.667 0.670
0.667 0.333 0.330
0.667 0.333 0.847
0.333 0.667 0.153
```

# SbAs

A relaxed SbAs crystal (GGA-PBEsol, Alexandria via LeMat-Bulk).

Crystal system: orthorhombic
Uncorrected formation energy, eV per formula unit: 0.05
Excess energy over the best structure of this formula in the dataset, meV/atom: 4

Cell and atoms, written as POSCAR:
```
SbAs
1.0
4.009 0.000 0.000
0.000 6.073 0.000
0.000 0.000 8.202
As Sb
4 4
direct
0.750 0.865 0.151
0.250 0.135 0.849
0.250 0.365 0.349
0.750 0.635 0.651
0.750 0.191 0.628
0.250 0.691 0.872
0.250 0.809 0.372
0.750 0.309 0.128
```

# SbAs

A relaxed SbAs crystal (GGA-PBEsol, Alexandria via LeMat-Bulk).

Crystal system: trigonal
Uncorrected formation energy, eV per formula unit: 0.09
Excess energy over the best structure of this formula in the dataset, meV/atom: 21

Cell and atoms, written as POSCAR:
```
SbAs
1.0
4.066 0.000 0.000
2.033 3.521 0.000
2.033 1.174 6.939
As Sb
2 2
direct
0.638 0.638 0.086
0.362 0.362 0.914
0.873 0.873 0.380
0.127 0.127 0.620
```